(1)
# SnI4

A relaxed SnI4 crystal (PBE, Alexandria via LeMat-Bulk).

Computed properties:
electronic total energy: -11.88 eV per formula unit
formation energy (no corrections): -1.672 eV/f.u.

Cell: 6.892 6.892 6.892 Å, 90.00 90.00 90.00°
Space group P-43m (No. 215)
Inequivalent atoms, fractional coordinates:
Sn (0.000, 0.000, 0.000) (multiplicity 1)
I (0.226, 0.226, 0.226) (multiplicity 4)

=====

(2)
# Sr2Sn2I

A relaxed Sr2Sn2I crystal (PBE, Alexandria via LeMat-Bulk).

Computed properties:
electronic total energy: -16.71 eV per formula unit
formation energy (no corrections): -3.795 eV/f.u.

Cell: 9.050 9.050 4.726 Å, 90.00 90.00 90.00°
Space group P4/mbm (No. 127)
Inequivalent atoms, fractional coordinates:
Sr (0.182, 0.318, 0.000) (multiplicity 4)
Sn (0.107, 0.607, 0.500) (multiplicity 4)
I (0.000, 0.000, 0.000) (multiplicity 2)

=====

(3)
# Sr2SnI

A relaxed Sr2SnI crystal (PBE, Alexandria via LeMat-Bulk).

Computed properties:
electronic total energy: -11.34 eV per formula unit
formation energy (no corrections): -2.419 eV/f.u.

Cell: 7.677 7.677 15.037 Å, 90.00 90.00 90.00°
Space group I-42d (No. 122)
Inequivalent atoms, fractional coordinates:
Sr (0.229, 0.250, 0.125) (multiplicity 8)
Sn (0.000, 0.000, 0.000) (multiplicity 4)
I (0.000, 0.000, 0.500) (multiplicity 4)

=====

(4)
# Sr2SnI6

A relaxed Sr2SnI6 crystal (PBE, Alexandria via LeMat-Bulk).

Computed properties:
electronic total energy: -28.13 eV per formula unit
formation energy (no corrections): -11.467 eV/f.u.

Cell: 8.2384 8.2384 23.0177 Å, 90.00 90.00 120.00°
Space group R-3 (No. 148, hexagonal axes)
Inequivalent atoms, fractional coordinates:
Sr (0.0000, 0.0000, 0.1830) (multiplicity 6)
Sn (0.0000, 0.0000, 0.0000) (multiplicity 3)
I (0.0145, 0.3129, 0.0870) (multiplicity 18)